1.
Below is a geometry-optimized CeTmNiPt structure, with properties calculated at the PBE level.

It has space group F-43m (No. 216), with a = 6.922 Å, b = 6.922 Å, c = 6.922 Å, α = 90.00°, β = 90.00° and γ = 90.00°. The distinct sites, in fractional coordinates, are Ce at (0.000, 0.000, 0.000), Tm at (0.000, 0.000, 0.500), Ni at (0.250, 0.250, 0.250) and Pt at (0.250, 0.250, 0.750).

As for the final energy: -6.274 eV per atom. For the magnetic moment, the calculation gives 0.429 μB/f.u. For the energy above the most stable polymorph in this dataset, the calculation gives 10.0 kJ/mol of atoms. The value obtained for the energy of formation is -717 meV per atom.


2.
Below is a geometry-optimized Ce2ZnNi5Pt2 structure, with properties calculated at the PBE level.

It has space group P4/mbm (No. 127), with a = 9.195 Å, b = 9.195 Å, c = 3.848 Å, α = 90.00°, β = 90.00° and γ = 90.00°. The distinct sites, in fractional coordinates, are Ce at (0.174, 0.326, 0.000), Zn at (0.000, 0.000, 0.000), Ni at (0.000, 0.500, 0.500), Ni at (0.053, 0.806, 0.500) and Pt at (0.126, 0.626, 0.000).

As for the final energy: -5.799 eV per atom. For the magnetic moment, the calculation gives 0.000 μB/f.u. The value obtained for the energy of formation is -386 meV per atom.


3.
Below is a geometry-optimized Ce2ZnNi2Pt5 structure, with properties calculated at the PBE level.

It has space group P4/mbm (No. 127), with a = 9.189 Å, b = 9.189 Å, c = 4.011 Å, α = 90.00°, β = 90.00° and γ = 90.00°. The distinct sites, in fractional coordinates, are Ce at (0.175, 0.325, 0.000), Zn at (0.000, 0.000, 0.000), Ni at (0.124, 0.624, 0.000), Pt at (0.000, 0.500, 0.500) and Pt at (0.069, 0.795, 0.500).

As for the final energy: -6.305 eV per atom. For the magnetic moment, the calculation gives 0.000 μB/f.u. The value obtained for the energy of formation is -814 meV per atom.


4.
Below is a geometry-optimized CeZnNiPt3 structure, with properties calculated at the PBE level.

It has space group Cmcm (No. 63), with a = 5.703 Å, b = 12.629 Å, c = 5.716 Å, α = 90.00°, β = 90.00° and γ = 90.00°. The distinct sites, in fractional coordinates, are Ce at (0.000, 0.194, 0.250), Zn at (0.000, 0.133, 0.750), Ni at (0.000, 0.372, 0.250), Pt at (0.000, 0.334, 0.750) and Pt at (0.248, 0.000, 0.000).

As for the final energy: -5.746 eV per atom. For the magnetic moment, the calculation gives 0.000 μB/f.u. The value obtained for the energy of formation is -561 meV per atom.


5.
Below is a geometry-optimized CePuNi structure, with properties calculated at the PBE level.

It has space group I4mm (No. 107), with a = 3.487 Å, b = 3.487 Å, c = 10.081 Å, α = 90.00°, β = 90.00° and γ = 90.00°. The distinct sites, in fractional coordinates, are Ce at (0.000, 0.000, 0.000), Pu at (0.000, 0.000, 0.688) and Ni at (0.000, 0.000, 0.347).

As for the final energy: -8.779 eV per atom. For the magnetic moment, the calculation gives 5.700 μB/f.u. For the energy above the most stable polymorph in this dataset, the calculation gives 0.0 kJ/mol of atoms. The value obtained for the energy of formation is -97 meV per atom.


6.
Below is a geometry-optimized Ce2PuNi structure, with properties calculated at the PBE level.

It has space group P4/mmm (No. 123), with a = 3.392 Å, b = 3.392 Å, c = 7.838 Å, α = 90.00°, β = 90.00° and γ = 90.00°. The distinct sites, in fractional coordinates, are Ce at (0.000, 0.000, 0.218), Pu at (0.500, 0.500, 0.500) and Ni at (0.500, 0.500, 0.000).

As for the final energy: -8.052 eV per atom. For the magnetic moment, the calculation gives 5.153 μB/f.u. For the energy above the most stable polymorph in this dataset, the calculation gives 0.0 kJ/mol of atoms. The value obtained for the energy of formation is -57 meV per atom.


7.
Below is a geometry-optimized Ce2PuNi structure, with properties calculated at the PBE level.

It has space group Fm-3m (No. 225), with a = 7.010 Å, b = 7.010 Å, c = 7.010 Å, α = 90.00°, β = 90.00° and γ = 90.00°. The distinct sites, in fractional coordinates, are Ce at (0.250, 0.250, 0.250), Pu at (0.000, 0.000, 0.000) and Ni at (0.000, 0.000, 0.500).

As for the final energy: -7.971 eV per atom. For the magnetic moment, the calculation gives 7.619 μB/f.u. For the energy above the most stable polymorph in this dataset, the calculation gives 7.9 kJ/mol of atoms. The value obtained for the energy of formation is 24 meV per atom.


8.
Below is a geometry-optimized Ce4PuNi2 structure, with properties calculated at the PBE level.

It has space group C2/m (No. 12), with a = 14.109 Å, b = 3.908 Å, c = 6.050 Å, α = 90.00°, β = 113.60° and γ = 90.00°. The distinct sites, in fractional coordinates, are Ce at (0.092, 0.000, 0.209), Ce at (0.132, 0.500, 0.740), Pu at (0.000, 0.000, 0.500) and Ni at (0.244, 0.500, 0.336).

As for the final energy: -7.152 eV per atom. For the magnetic moment, the calculation gives 3.878 μB/f.u. The value obtained for the energy of formation is -62 meV per atom.


9.
Below is a geometry-optimized Ce4PuNi structure, with properties calculated at the PBE level.

It has space group P2_1/c (No. 14), with a = 6.542 Å, b = 8.592 Å, c = 11.512 Å, α = 90.00°, β = 118.28° and γ = 90.00°. The distinct sites, in fractional coordinates, are Ce at (0.103, 0.096, 0.371), Ce at (0.157, 0.169, 0.636), Ce at (0.260, 0.579, 0.627), Ce at (0.375, 0.704, 0.388), Pu at (0.425, 0.631, 0.109) and Ni at (0.197, 0.096, 0.891).

As for the final energy: -7.359 eV per atom. For the magnetic moment, the calculation gives 5.853 μB/f.u. The value obtained for the energy of formation is -51 meV per atom.


10.
Below is a geometry-optimized Ce14Pu3Ni6 structure, with properties calculated at the PBE level.

It has space group P3m1 (No. 156), with a = 9.8988 Å, b = 9.8988 Å, c = 6.1772 Å, α = 90.00°, β = 90.00° and γ = 120.00°. The distinct sites, in fractional coordinates, are Ce at (0.0000, 0.0000, 0.0000), Ce at (0.0933, 0.5467, 0.2464), Ce at (0.2126, 0.4252, 0.7826), Ce at (0.2944, 0.1472, 0.4524), Ce at (0.3739, 0.1869, 0.9542), Ce at (0.6667, 0.3333, 0.5137), Pu at (0.0000, 0.0000, 0.5879), Pu at (0.3333, 0.6667, 0.0140), Pu at (0.6667, 0.3333, 0.0977), Ni at (0.1366, 0.2732, 0.2536) and Ni at (0.5286, 0.0573, 0.7478).

As for the final energy: -7.140 eV per atom. For the magnetic moment, the calculation gives 11.601 μB/f.u. The value obtained for the energy of formation is -150 meV per atom.


11.
Below is a geometry-optimized CePu2Ni9 structure, with properties calculated at the PBE level.

It has space group R-3m (No. 166, hexagonal axes), with a = 4.9392 Å, b = 4.9392 Å, c = 24.4726 Å, α = 90.00°, β = 90.00° and γ = 120.00°. The distinct sites, in fractional coordinates, are Ce at (0.0000, 0.0000, 0.0000), Pu at (0.0000, 0.0000, 0.1425), Ni at (0.0000, 0.0000, 0.3330), Ni at (0.0000, 0.0000, 0.5000) and Ni at (0.0005, 0.5003, 0.9175).

As for the final energy: -7.527 eV per atom. For the magnetic moment, the calculation gives 9.759 μB/f.u. The value obtained for the energy of formation is -308 meV per atom.


12.
Below is a geometry-optimized Ce2PuNi structure, with properties calculated at the PBE level.

It has space group R3m (No. 160, hexagonal axes), with a = 3.5967 Å, b = 3.5967 Å, c = 26.1277 Å, α = 90.00°, β = 90.00° and γ = 120.00°. The distinct sites, in fractional coordinates, are Ce at (0.0000, 0.0000, 0.0000), Ce at (0.0000, 0.0000, 0.1946), Pu at (0.0000, 0.0000, 0.4299) and Ni at (0.0000, 0.0000, 0.5976).

As for the final energy: -7.962 eV per atom. For the magnetic moment, the calculation gives 6.282 μB/f.u. For the energy above the most stable polymorph in this dataset, the calculation gives 8.8 kJ/mol of atoms. The value obtained for the energy of formation is 34 meV per atom.


13.
Below is a geometry-optimized CePuNi10 structure, with properties calculated at the PBE level.

It has space group Pmmm (No. 47), with a = 3.971 Å, b = 4.886 Å, c = 8.469 Å, α = 90.00°, β = 90.00° and γ = 90.00°. The distinct sites, in fractional coordinates, are Ce at (0.000, 0.000, 0.000), Pu at (0.000, 0.500, 0.500), Ni at (0.000, 0.000, 0.333), Ni at (0.000, 0.500, 0.167), Ni at (0.500, 0.000, 0.500), Ni at (0.500, 0.251, 0.251) and Ni at (0.500, 0.500, 0.000).

As for the final energy: -6.771 eV per atom. For the magnetic moment, the calculation gives 2.361 μB/f.u. The value obtained for the energy of formation is -264 meV per atom.


14.
Below is a geometry-optimized CePuNi structure, with properties calculated at the PBE level.

It has space group C2/m (No. 12), with a = 10.921 Å, b = 3.451 Å, c = 7.579 Å, α = 90.00°, β = 121.85° and γ = 90.00°. The distinct sites, in fractional coordinates, are Ce at (0.069, 0.000, 0.250), Pu at (0.086, 0.500, 0.673) and Ni at (0.209, 0.500, 0.091).

As for the final energy: -8.626 eV per atom. For the magnetic moment, the calculation gives 1.757 μB/f.u. For the energy above the most stable polymorph in this dataset, the calculation gives 14.7 kJ/mol of atoms. The value obtained for the energy of formation is 56 meV per atom.


15.
Below is a geometry-optimized Ce2PuNi structure, with properties calculated at the PBE level.

It has space group R-3m (No. 166, hexagonal axes), with a = 3.4070 Å, b = 3.4070 Å, c = 28.9415 Å, α = 90.00°, β = 90.00° and γ = 120.00°. The distinct sites, in fractional coordinates, are Ce at (0.0000, 0.0000, 0.1004), Pu at (0.0000, 0.0000, 0.0000) and Ni at (0.0000, 0.0000, 0.5000).

As for the final energy: -7.808 eV per atom. For the magnetic moment, the calculation gives 5.160 μB/f.u. For the energy above the most stable polymorph in this dataset, the calculation gives 23.6 kJ/mol of atoms. The value obtained for the energy of formation is 188 meV per atom.


16.
Below is a geometry-optimized CePuNi structure, with properties calculated at the PBE level.

It has space group P-6m2 (No. 187), with a = 4.7946 Å, b = 4.7946 Å, c = 2.8536 Å, α = 90.00°, β = 90.00° and γ = 120.00°. The distinct sites, in fractional coordinates, are Ce at (0.0000, 0.0000, 0.0000), Pu at (0.3333, 0.6667, 0.0000) and Ni at (0.6667, 0.3333, 0.5000).

As for the final energy: -8.655 eV per atom. For the magnetic moment, the calculation gives 5.234 μB/f.u. For the energy above the most stable polymorph in this dataset, the calculation gives 12.0 kJ/mol of atoms. The value obtained for the energy of formation is 28 meV per atom.


17.
Below is a geometry-optimized CePuNiRh structure, with properties calculated at the PBE level.

It has space group F-43m (No. 216), with a = 6.562 Å, b = 6.562 Å, c = 6.562 Å, α = 90.00°, β = 90.00° and γ = 90.00°. The distinct sites, in fractional coordinates, are Ce at (0.000, 0.000, 0.000), Pu at (0.250, 0.250, 0.750), Ni at (0.250, 0.250, 0.250) and Rh at (0.000, 0.000, 0.500).

As for the final energy: -8.779 eV per atom. For the magnetic moment, the calculation gives 5.134 μB/f.u. The value obtained for the energy of formation is -430 meV per atom.


18.
Below is a geometry-optimized CePuNiS4 structure, with properties calculated at the PBE level.

It has space group P2_1/m (No. 11), with a = 6.500 Å, b = 5.694 Å, c = 7.762 Å, α = 90.00°, β = 107.40° and γ = 90.00°. The distinct sites, in fractional coordinates, are Ce at (0.232, 0.250, 0.430), Pu at (0.252, 0.250, 0.941), Ni at (0.260, 0.750, 0.190), S at (0.071, 0.750, 0.385), S at (0.075, 0.750, 0.901) and S at (0.485, 0.511, 0.746).

As for the final energy: -7.506 eV per atom. For the magnetic moment, the calculation gives 5.029 μB/f.u.


19.
Below is a geometry-optimized CePuNiS3 structure, with properties calculated at the PBE level.

It has space group P2_1/m (No. 11), with a = 8.124 Å, b = 3.819 Å, c = 8.224 Å, α = 90.00°, β = 100.95° and γ = 90.00°. The distinct sites, in fractional coordinates, are Ce at (0.165, 0.250, 0.229), Pu at (0.338, 0.750, 0.826), Ni at (0.086, 0.250, 0.585), S at (0.103, 0.250, 0.863), S at (0.203, 0.750, 0.498) and S at (0.414, 0.750, 0.171).

As for the final energy: -7.948 eV per atom. For the magnetic moment, the calculation gives 5.851 μB/f.u.


20.
Below is a geometry-optimized Ce2PuNiS5 structure, with properties calculated at the PBE level.

It has space group Cmc2_1 (No. 36), with a = 3.843 Å, b = 16.361 Å, c = 11.831 Å, α = 90.00°, β = 90.00° and γ = 90.00°. The distinct sites, in fractional coordinates, are Ce at (0.000, 0.113, 0.000), Ce at (0.000, 0.118, 0.348), Pu at (0.000, 0.178, 0.679), Ni at (0.000, 0.451, 0.067), S at (0.000, 0.015, 0.658), S at (0.000, 0.303, 0.344), S at (0.000, 0.318, 0.014), S at (0.000, 0.345, 0.673) and S at (0.000, 0.494, 0.397).

As for the final energy: -7.494 eV per atom. For the magnetic moment, the calculation gives 5.994 μB/f.u.